Here is a relaxed structure of BiP4O12 from the Alexandria database. Energies are from GGA-PBEsol.

Computed properties:
- SG = P2_1/c
- polymorph energy (0 for the lowest one) (eV/f.u.) = 0.24
- final energy (eV for the cell shown) = -491.051
- E_form (uncorrected) (meV/atom) = -1901
- DOS at the Fermi energy (states/eV/f.u.) = 6.36

Cell: 7.205 9.611 13.002 Å, 90.00 90.00 91.62°
Fractional positions:
Bi1 0.017 0.977 0.220
Bi2 0.483 0.523 0.720
Bi3 0.517 0.477 0.280
Bi4 0.983 0.023 0.780
P1 0.250 0.758 0.893
P2 0.376 0.768 0.113
P3 0.734 0.795 0.592
P4 0.250 0.742 0.393
P5 0.353 0.199 0.629
P6 0.266 0.205 0.408
P7 0.624 0.232 0.887
P8 0.750 0.242 0.107
P9 0.750 0.258 0.607
P10 0.876 0.268 0.387
P11 0.647 0.801 0.371
P12 0.147 0.301 0.129
P13 0.853 0.699 0.871
P14 0.766 0.705 0.092
P15 0.124 0.732 0.613
P16 0.234 0.295 0.908
O1 0.766 0.914 0.664
O2 0.212 0.911 0.890
O3 0.295 0.904 0.145
O4 0.732 0.883 0.285
O5 0.234 0.086 0.336
O6 0.788 0.089 0.110
O7 0.705 0.096 0.855
O8 0.268 0.117 0.715
O9 0.280 0.136 0.521
O10 0.863 0.153 0.309
O11 0.167 0.146 0.123
O12 0.569 0.163 0.629
O13 0.907 0.206 0.672
O14 0.413 0.200 0.919
O15 0.787 0.209 0.491
O16 0.066 0.199 0.896
O17 0.713 0.291 0.991
O18 0.137 0.847 0.691
O19 0.434 0.301 0.396
O20 0.087 0.300 0.419
O21 0.931 0.337 0.129
O22 0.637 0.347 0.809
O23 0.333 0.354 0.623
O24 0.220 0.364 0.021
O25 0.795 0.404 0.355
O26 0.232 0.383 0.215
O27 0.712 0.411 0.610
O28 0.266 0.414 0.836
O29 0.734 0.586 0.164
O30 0.288 0.589 0.390
O31 0.768 0.617 0.785
O32 0.205 0.596 0.645
O33 0.780 0.636 0.979
O34 0.667 0.646 0.377
O35 0.363 0.653 0.191
O36 0.069 0.663 0.871
O37 0.913 0.700 0.581
O38 0.566 0.699 0.604
O39 0.407 0.706 0.828
O40 0.287 0.709 0.009
O41 0.934 0.801 0.104
O42 0.213 0.791 0.509
O43 0.587 0.800 0.081
O44 0.093 0.794 0.328
O45 0.431 0.837 0.371
O46 0.833 0.854 0.877
O47 0.720 0.864 0.479
O48 0.593 0.294 0.172